Below is an optimized crystal structure of MgPaCuOs, with properties calculated at the PBE-GGA level.

Geometry as POSCAR:
```
MgPaCuOs
1.0
-0.0324 0.1445 -4.6958
1.0730 -3.8459 -2.4760
-3.3490 -2.2610 -2.3967
Mg Pa Os Cu
1 1 1 1
Direct
0.0000 0.0000 0.0000
0.5000 0.5000 0.5000
0.7500 0.7500 0.7500
0.2500 0.2500 0.2500
```

## Properties
The crystal system is cubic. The calculation puts the total energy at -26.57 eV/cell. Its spin magnetization is 0.000 μB/cell. For the formation energy, the calculation gives -0.151 eV/f.u.